LaTcAu3: relaxed, PBEsol.

POSCAR file:
```
LaTcAu3
1.0
-0.891 -2.960 4.384
-2.410 -3.730 -3.008
4.709 -2.469 -0.710
Au La Tc
3 1 1
direct
0.500 0.000 0.000
0.000 0.500 0.000
0.000 0.000 0.500
0.000 0.000 0.000
0.500 0.500 0.500
```

Summary:
- M_tot: 4.555 μB/f.u.
- Symmetry: Pm-3m
- Volume: 30.87 Å³/atom
- DFT total energy: -4.19 eV per atom
- Formation energy: 1.487 eV per atom